Entry 1:
Computed, not measured: DyErMgAl after structural relaxation at the PBE level of DFT.

Cell: 5.1746 5.1746 5.1746 Å, 60.00 60.00 60.00°
Atoms (fractional coordinates):
Dy 0.0000 0.0000 0.0000
Er 0.5000 0.5000 0.5000
Mg 0.7500 0.7500 0.7500
Al 0.2500 0.2500 0.2500

Computed properties:
energy relative to the elements: -6.2 kcal/mol of atoms
M_tot: 0.00 μB per formula unit

Entry 2:
Computed, not measured: DyErMnAl after structural relaxation at the PBE level of DFT.

Cell: 5.0520 5.0520 5.0520 Å, 60.00 60.00 60.00°
Atoms (fractional coordinates):
Dy 0.0000 0.0000 0.0000
Er 0.5000 0.5000 0.5000
Mn 0.2500 0.2500 0.2500
Al 0.7500 0.7500 0.7500

Computed properties:
energy relative to the elements: -1.9 kcal/mol of atoms
M_tot: 3.31 μB per formula unit

Entry 3:
Computed, not measured: Dy2ErAlN after structural relaxation at the PBE level of DFT.

Cell: 4.7740 4.7740 4.7201 Å, 90.00 90.00 90.00°
Atoms (fractional coordinates):
Dy 0.0000 0.5000 0.0000
Dy 0.5000 0.0000 0.0000
Er 0.0000 0.0000 0.5000
Al 0.5000 0.5000 0.5000
N 0.0000 0.0000 0.0000

Computed properties:
ΔE_f (raw): -927 meV per atom
M_tot: 0.00 μB per formula unit

Entry 4:
Computed, not measured: DyErAlNi after structural relaxation at the PBE level of DFT.

Cell: 4.9461 4.9461 4.9461 Å, 60.00 60.00 60.00°
Atoms (fractional coordinates):
Dy 0.0000 0.0000 0.0000
Er 0.5000 0.5000 0.5000
Al 0.2500 0.2500 0.2500
Ni 0.7500 0.7500 0.7500

Computed properties:
energy relative to the elements: -7.6 kcal/mol of atoms
M_tot: 0.00 μB per formula unit

Entry 5:
Computed, not measured: DyErAlOs after structural relaxation at the PBE level of DFT.

Cell: 4.9179 4.9179 4.9179 Å, 60.00 60.00 60.00°
Atoms (fractional coordinates):
Dy 0.0000 0.0000 0.0000
Er 0.5000 0.5000 0.5000
Al 0.2500 0.2500 0.2500
Os 0.7500 0.7500 0.7500

Computed properties:
energy relative to the elements: -6.7 kcal/mol of atoms
M_tot: 0.00 μB per formula unit

Entry 6:
Computed, not measured: DyErAlPd after structural relaxation at the PBE level of DFT.

Cell: 4.4605 5.8636 5.8636 Å, 37.38 90.00 90.00°
Atoms (fractional coordinates):
Dy 0.0000 0.0000 0.0000
Er 0.5000 0.7063 0.7063
Al 0.0000 0.2810 0.2810
Pd 0.5000 0.4232 0.4232

Computed properties:
energy relative to the elements: -14.5 kcal/mol of atoms
offset from the most stable computed form: 0.00 eV/f.u.
M_tot: 0.00 μB per formula unit

Entry 7:
Computed, not measured: DyErAlPd after structural relaxation at the PBE level of DFT.

Cell: 5.0337 5.0337 5.0337 Å, 60.00 60.00 60.00°
Atoms (fractional coordinates):
Dy 0.0000 0.0000 0.0000
Er 0.5000 0.5000 0.5000
Al 0.2500 0.2500 0.2500
Pd 0.7500 0.7500 0.7500

Computed properties:
energy relative to the elements: -13.6 kcal/mol of atoms
offset from the most stable computed form: 0.16 eV/f.u.
M_tot: 0.00 μB per formula unit

Entry 8:
Computed, not measured: DyErPuAl after structural relaxation at the PBE level of DFT.

Cell: 5.2833 5.2833 5.2833 Å, 60.00 60.00 60.00°
Atoms (fractional coordinates):
Dy 0.0000 0.0000 0.0000
Er 0.2500 0.2500 0.2500
Pu 0.5000 0.5000 0.5000
Al 0.7500 0.7500 0.7500

Computed properties:
energy relative to the elements: 0.5 kcal/mol of atoms
M_tot: 6.35 μB per formula unit

Entry 9:
Computed, not measured: DyErAlRu after structural relaxation at the PBE level of DFT.

Cell: 4.9317 4.9317 4.9317 Å, 60.00 60.00 60.00°
Atoms (fractional coordinates):
Dy 0.0000 0.0000 0.0000
Er 0.5000 0.5000 0.5000
Al 0.7500 0.7500 0.7500
Ru 0.2500 0.2500 0.2500

Computed properties:
energy relative to the elements: -8.6 kcal/mol of atoms
M_tot: 0.00 μB per formula unit

Entry 10:
Computed, not measured: Dy2ErAlS6 after structural relaxation at the PBE level of DFT.

Cell: 7.0691 7.0691 7.0691 Å, 56.65 56.65 56.65°
Atoms (fractional coordinates):
Dy 0.0000 0.0000 0.0000
Dy 0.4980 0.4980 0.4980
Er 0.2040 0.2040 0.2040
Al 0.7004 0.7004 0.7004
S 0.0620 0.4378 0.8117
S 0.3343 0.9080 0.5905
S 0.4378 0.8117 0.0620
S 0.5905 0.3343 0.9080
S 0.8117 0.0620 0.4378
S 0.9080 0.5905 0.3343

Computed properties:
ΔE_f (raw): -1752 meV per atom
M_tot: 0.00 μB per formula unit

Entry 11:
Computed, not measured: DyErScAl after structural relaxation at the PBE level of DFT.

Cell: 5.2125 5.2125 5.2125 Å, 60.00 60.00 60.00°
Atoms (fractional coordinates):
Dy 0.0000 0.0000 0.0000
Er 0.5000 0.5000 0.5000
Sc 0.7500 0.7500 0.7500
Al 0.2500 0.2500 0.2500

Computed properties:
energy relative to the elements: -2.5 kcal/mol of atoms
offset from the most stable computed form: 0.36 eV/f.u.
M_tot: 0.02 μB per formula unit

Entry 12:
Computed, not measured: DyErScAl after structural relaxation at the PBE level of DFT.

Cell: 4.5683 4.6697 4.6706 Å, 90.00 90.00 90.00°
Atoms (fractional coordinates):
Dy 0.0000 0.0000 0.0000
Er 0.0000 0.5000 0.5000
Sc 0.5000 0.0000 0.5000
Al 0.5000 0.5000 0.0000

Computed properties:
energy relative to the elements: -4.6 kcal/mol of atoms
offset from the most stable computed form: 0.00 eV/f.u.
M_tot: 0.00 μB per formula unit

Entry 13:
Computed, not measured: SmDyErAl after structural relaxation at the PBE level of DFT.

Cell: 5.3634 5.3634 5.3634 Å, 60.00 60.00 60.00°
Atoms (fractional coordinates):
Sm 0.0000 0.0000 0.0000
Dy 0.5000 0.5000 0.5000
Er 0.2500 0.2500 0.2500
Al 0.7500 0.7500 0.7500

Computed properties:
energy relative to the elements: -1.4 kcal/mol of atoms
offset from the most stable computed form: 0.53 eV/f.u.
M_tot: 0.01 μB per formula unit

Entry 14:
Computed, not measured: SmDyErAl after structural relaxation at the PBE level of DFT.

Cell: 3.5149 3.5149 9.0358 Å, 90.00 90.00 90.00°
Atoms (fractional coordinates):
Sm 0.0000 0.0000 0.0000
Dy 0.5000 0.5000 0.7086
Er 0.5000 0.5000 0.2867
Al 0.0000 0.0000 0.4956

Computed properties:
energy relative to the elements: -4.5 kcal/mol of atoms
offset from the most stable computed form: 0.00 eV/f.u.
M_tot: 0.00 μB per formula unit

Entry 15:
Computed, not measured: DyErThAl after structural relaxation at the PBE level of DFT.

Cell: 5.3642 5.3642 5.3642 Å, 60.00 60.00 60.00°
Atoms (fractional coordinates):
Dy 0.0000 0.0000 0.0000
Er 0.7500 0.7500 0.7500
Th 0.5000 0.5000 0.5000
Al 0.2500 0.2500 0.2500

Computed properties:
energy relative to the elements: -0.7 kcal/mol of atoms
M_tot: 0.00 μB per formula unit

Entry 16:
Computed, not measured: DyErAlTl after structural relaxation at the PBE level of DFT.

Cell: 3.6042 3.6042 7.7524 Å, 90.00 90.00 90.00°
Atoms (fractional coordinates):
Dy 0.0000 0.0000 0.0000
Er 0.0000 0.0000 0.5306
Al 0.5000 0.5000 0.7633
Tl 0.5000 0.5000 0.2684

Computed properties:
energy relative to the elements: -8.1 kcal/mol of atoms
offset from the most stable computed form: 0.00 eV/f.u.
M_tot: 0.00 μB per formula unit

Entry 17:
Computed, not measured: DyErAlTl after structural relaxation at the PBE level of DFT.

Cell: 5.2252 5.2252 5.2252 Å, 60.00 60.00 60.00°
Atoms (fractional coordinates):
Dy 0.0000 0.0000 0.0000
Er 0.5000 0.5000 0.5000
Al 0.7500 0.7500 0.7500
Tl 0.2500 0.2500 0.2500

Computed properties:
energy relative to the elements: -7.5 kcal/mol of atoms
offset from the most stable computed form: 0.11 eV/f.u.
M_tot: 0.00 μB per formula unit

Entry 18:
Computed, not measured: DyErTmAl after structural relaxation at the PBE level of DFT.

Cell: 4.7120 4.7213 4.7311 Å, 90.00 90.00 90.00°
Atoms (fractional coordinates):
Dy 0.0000 0.0000 0.0000
Er 0.0000 0.5000 0.5000
Tm 0.5000 0.0000 0.5000
Al 0.5000 0.5000 0.0000

Computed properties:
energy relative to the elements: -4.5 kcal/mol of atoms
offset from the most stable computed form: 0.00 eV/f.u.
M_tot: 0.00 μB per formula unit

Entry 19:
Computed, not measured: DyErTmAl after structural relaxation at the PBE level of DFT.

Cell: 5.3016 5.3016 5.3016 Å, 60.00 60.00 60.00°
Atoms (fractional coordinates):
Dy 0.0000 0.0000 0.0000
Er 0.5000 0.5000 0.5000
Tm 0.7500 0.7500 0.7500
Al 0.2500 0.2500 0.2500

Computed properties:
energy relative to the elements: -1.5 kcal/mol of atoms
offset from the most stable computed form: 0.51 eV/f.u.
M_tot: 0.00 μB per formula unit

Entry 20:
Computed, not measured: DyYErAl after structural relaxation at the PBE level of DFT.

Cell: 4.7369 4.7471 4.7712 Å, 90.00 90.00 90.00°
Atoms (fractional coordinates):
Dy 0.0000 0.0000 0.0000
Y 0.0000 0.5000 0.5000
Er 0.5000 0.5000 0.0000
Al 0.5000 0.0000 0.5000

Computed properties:
energy relative to the elements: -4.4 kcal/mol of atoms
offset from the most stable computed form: 0.00 eV/f.u.
M_tot: 0.00 μB per formula unit